## Be2CdAg (PBE)

Data for a relaxed Be2CdAg crystal.

The structure in CIF format:
```
data_Be2CdAg
_chemical_formula_sum 'Be2 Cd1 Ag1'
_symmetry_space_group_name_H-M 'P 1 m 1'
_symmetry_Int_Tables_number 6
_cell_length_a 2.8369
_cell_length_b 3.9110
_cell_length_c 5.2202
_cell_angle_alpha 90.00
_cell_angle_beta 105.76
_cell_angle_gamma 90.00
loop_
_symmetry_equiv_pos_as_xyz
'x,y,z'
'x,-y,z'
loop_
_atom_site_label
_atom_site_type_symbol
_atom_site_fract_x
_atom_site_fract_y
_atom_site_fract_z
Be1 Be 0.0000 0.0000 0.0000
Be2 Be 0.1096 0.5000 0.2282
Cd1 Cd 0.7239 0.0000 0.4516
Ag1 Ag 0.4093 0.5000 0.8209
```

Output
Formation enthalpy at 0 K (eV/atom): 0.273
Spin magnetization (μB/cell): 0.00
Crystal system: monoclinic